Record 1
An optimized crystal structure of Er2In3Pt. Source: Alexandria via LeMat-Bulk, functional PBE.

Geometry as extended XYZ:
```
6
Lattice="-0.751 -1.999 -2.853 -2.197 -3.236 2.845 -7.166 4.036 -0.943" Properties=species:S:1:pos:R:3 pbc="T T T"
Er -1.381 -1.459 1.386
Er -3.424 1.929 -0.450
In -6.327 2.353 -2.210
In -1.605 -0.307 -1.588
In -6.166 0.025 -0.621
Pt -3.809 -1.303 -0.311
```

Calculated values
Space group ... Pmm2
Formation energy ... -0.609 eV/atom
N(E_F) ... 4.02 states/eV/f.u.

Record 2
An optimized crystal structure of Tb5Pm2PrTh. Source: Alexandria via LeMat-Bulk, functional PBE.

Geometry as extended XYZ:
```
18
Lattice="5.684 0.000 0.000 -2.842 10.109 0.000 0.000 0.000 10.528" Properties=species:S:1:pos:R:3 pbc="T T T"
Tb 0.000 7.839 0.258
Tb 2.842 4.531 8.605
Tb 0.000 9.673 7.762
Tb 0.000 6.012 7.465
Tb 2.842 9.778 5.513
Tb 2.842 2.271 5.522
Tb 0.000 5.579 3.341
Tb 2.842 0.436 2.498
Tb 2.842 4.097 2.201
Tb 0.000 0.332 0.249
Pm 2.842 7.800 8.635
Pm 0.000 2.346 7.678
Pm 0.000 2.309 3.371
Pm 2.842 7.763 2.414
Pr 2.842 1.771 9.983
Pr 0.000 8.338 4.719
Th 2.842 6.046 5.415
Th 0.000 4.064 0.151
```

Calculated values
Space group ... Cmc2_1
Formation energy ... 0.162 eV/atom
N(E_F) ... 14.11 states/eV/f.u.

Record 3
An optimized crystal structure of Y3MnTe. Source: Alexandria via LeMat-Bulk, functional PBE.

Geometry as extended XYZ:
```
5
Lattice="5.174 0.000 0.000 0.000 5.174 0.000 0.000 0.000 5.174" Properties=species:S:1:pos:R:3 pbc="T T T"
Y 0.000 2.587 0.000
Y 0.000 0.000 2.587
Y 2.587 0.000 0.000
Te 2.587 2.587 2.587
Mn 0.000 0.000 0.000
```

Calculated values
Space group ... Pm-3m
Uncorrected formation energy ... -78 meV/atom
N(E_F) ... 6.11 states/eV/f.u.

Record 4
An optimized crystal structure of LaHoAu. Source: Alexandria via LeMat-Bulk, functional PBE.

Geometry as extended XYZ:
```
6
Lattice="-2.589 0.899 4.054 -3.526 -3.000 -1.586 3.311 -5.673 3.371" Properties=species:S:1:pos:R:3 pbc="T T T"
La 1.152 -6.495 2.175
La -0.898 -0.229 2.430
Au -0.837 -3.086 0.150
Au 1.091 -3.638 4.456
Ho -1.402 -3.887 2.920
Ho 1.655 -2.837 1.686
```

Calculated values
Space group ... P4/nmm
Formation energy ... -0.590 eV/atom
N(E_F) ... 3.07 states/eV/f.u.

Record 5
An optimized crystal structure of SrZr2Tl. Source: Alexandria via LeMat-Bulk, functional PBE.

Geometry as extended XYZ:
```
4
Lattice="4.796 0.000 0.000 0.000 4.684 0.000 0.000 0.000 4.684" Properties=species:S:1:pos:R:3 pbc="T T T"
Sr 2.398 2.342 0.000
Tl 2.398 0.000 2.342
Zr 0.000 0.000 0.000
Zr 0.000 2.342 2.342
```

Calculated values
Space group ... P4/mmm
Formation energy ... 0.290 eV/atom
N(E_F) ... 4.97 states/eV/f.u.

Record 6
An optimized crystal structure of Hf2TiH. Source: Alexandria via LeMat-Bulk, functional PBE.

Geometry as extended XYZ:
```
8
Lattice="-6.343 -0.074 -2.141 1.786 -3.880 -5.156 -2.794 -4.351 -2.041" Properties=species:S:1:pos:R:3 pbc="T T T"
H -2.279 -1.977 -3.649
H -1.643 -5.104 -5.423
Hf -3.859 -1.612 -2.297
Hf -0.956 -3.529 -4.196
Hf -3.641 -5.102 -4.739
Hf -6.247 -6.368 -7.443
Ti 0.000 0.000 0.000
Ti -5.708 -3.201 -3.915
```

Calculated values
Uncorrected energy ... -7.697 eV per atom
Space group ... I-42d
N(E_F) ... 4.23 states/eV/f.u.

Record 7
An optimized crystal structure of Sc5C. Source: Alexandria via LeMat-Bulk, functional PBE.

Geometry as extended XYZ:
```
6
Lattice="3.048 0.000 0.000 0.000 3.048 0.000 0.000 0.000 12.922" Properties=species:S:1:pos:R:3 pbc="T T T"
Sc 0.000 0.000 11.672
Sc 0.000 0.000 1.251
Sc 1.524 1.524 8.948
Sc 1.524 1.524 3.974
Sc 0.000 0.000 6.461
C 1.524 1.524 0.000
```

Calculated values
Space group ... P4/mmm
Formation energy ... 0.107 eV/atom
N(E_F) ... 6.68 states/eV/f.u.

Record 8
An optimized crystal structure of HgP2Ir2. Source: Alexandria via LeMat-Bulk, functional PBE.

Geometry as extended XYZ:
```
10
Lattice="7.549 0.000 0.000 0.000 7.549 0.000 0.000 0.000 2.895" Properties=species:S:1:pos:R:3 pbc="T T T"
P 1.010 4.785 1.448
P 4.785 6.538 1.448
P 6.538 2.764 1.448
P 2.764 1.010 1.448
Ir 2.780 6.555 0.000
Ir 6.555 4.768 0.000
Ir 4.768 0.994 0.000
Ir 0.994 2.780 0.000
Hg 0.000 0.000 0.000
Hg 3.774 3.774 0.000
```

Calculated values
Space group ... P4/mbm
Formation energy ... 0.152 eV/atom
N(E_F) ... 1.88 states/eV/f.u.